Record 1
A plane-wave DFT calculation with PBE was carried out for TiBr after structural relaxation.

## Properties
ΔE_f (raw)	0.080	eV per atom
crystal system	cubic
D(E_F)	1.44	states/eV per atom
calculated volume	26.5	Å³ per atom

Cell: 5.962 5.962 5.962 Å, 90.00 90.00 90.00°
Site moments in Bohr magnetons follow the coordinates.
Positions (direct):
Ti (0.250, 0.250, 0.250)  1.74
Ti (0.250, 0.750, 0.750)  1.74
Ti (0.750, 0.250, 0.750)  1.74
Ti (0.750, 0.750, 0.250)  1.74
Br (0.000, 0.000, 0.000)  0.01
Br (0.000, 0.500, 0.500)  0.01
Br (0.500, 0.000, 0.500)  0.01
Br (0.500, 0.500, 0.000)  0.01

Record 2
A plane-wave DFT calculation with PBE was carried out for TiBr after structural relaxation.

## Properties
ΔE_f (raw)	-0.185	eV per atom
crystal system	cubic
D(E_F)	0.38	states/eV per atom
calculated volume	33.3	Å³ per atom

Cell: 8.108 8.108 8.108 Å, 90.00 90.00 90.00°
Positions (direct):
Ti (0.113, 0.113, 0.113)
Ti (0.113, 0.887, 0.887)
Ti (0.887, 0.113, 0.887)
Ti (0.887, 0.887, 0.113)
Ti (0.613, 0.613, 0.613)
Ti (0.613, 0.387, 0.387)
Ti (0.387, 0.613, 0.387)
Ti (0.387, 0.387, 0.613)
Br (0.306, 0.306, 0.306)
Br (0.306, 0.694, 0.694)
Br (0.694, 0.306, 0.694)
Br (0.694, 0.694, 0.306)
Br (0.806, 0.806, 0.806)
Br (0.806, 0.194, 0.194)
Br (0.194, 0.806, 0.194)
Br (0.194, 0.194, 0.806)

Record 3
A plane-wave DFT calculation with PBE was carried out for Ti4Br after structural relaxation.

## Properties
ΔE_f (raw)	0.482	eV per atom
crystal system	cubic
D(E_F)	1.06	states/eV per atom
calculated volume	19.9	Å³ per atom

Cell: 4.636 4.636 4.636 Å, 90.00 90.00 90.00°
Positions (direct):
Br (0.500, 0.500, 0.500)
Ti (0.000, 0.000, 0.000)
Ti (0.500, 0.000, 0.500)
Ti (0.000, 0.500, 0.500)
Ti (0.500, 0.500, 0.000)

Record 4
A plane-wave DFT calculation with PBE was carried out for TiBr after structural relaxation.

## Properties
ΔE_f (raw)	-0.538	eV per atom
crystal system	orthorhombic
D(E_F)	0.71	states/eV per atom
calculated volume	25.5	Å³ per atom

Cell: 3.222 3.310 9.553 Å, 90.03 90.00 90.00°
Positions (direct):
Br (0.250, 0.751, 0.802)
Br (0.750, 0.249, 0.198)
Ti (0.250, 0.250, 0.403)
Ti (0.750, 0.750, 0.597)

Record 5
A plane-wave DFT calculation with PBE was carried out for TiBr after structural relaxation.

## Properties
ΔE_f (raw)	-0.655	eV per atom
crystal system	tetragonal
D(E_F)	0.83	states/eV per atom
calculated volume	26.9	Å³ per atom

Cell: 11.125 11.125 3.482 Å, 90.00 90.00 90.00°
Positions (direct):
Ti (0.398, 0.086, 0.000)
Ti (0.602, 0.914, 0.000)
Ti (0.914, 0.398, 0.000)
Ti (0.086, 0.602, 0.000)
Ti (0.898, 0.586, 0.500)
Ti (0.102, 0.414, 0.500)
Ti (0.414, 0.898, 0.500)
Ti (0.586, 0.102, 0.500)
Br (0.234, 0.914, 0.000)
Br (0.766, 0.086, 0.000)
Br (0.086, 0.234, 0.000)
Br (0.914, 0.766, 0.000)
Br (0.734, 0.414, 0.500)
Br (0.266, 0.586, 0.500)
Br (0.586, 0.734, 0.500)
Br (0.414, 0.266, 0.500)

Record 6
A plane-wave DFT calculation with PBE was carried out for TiBr after structural relaxation.

## Properties
ΔE_f (raw)	0.183	eV per atom
crystal system	cubic
D(E_F)	1.42	states/eV per atom
calculated volume	19.4	Å³ per atom

Cell: 5.372 5.372 5.372 Å, 90.00 90.00 90.00°
Site moments in Bohr magnetons follow the coordinates.
Positions (direct):
Ti (0.000, 0.000, 0.000)  0.73
Ti (0.000, 0.500, 0.500)  0.73
Ti (0.500, 0.000, 0.500)  0.73
Ti (0.500, 0.500, 0.000)  0.73
Br (0.500, 0.500, 0.500)  0.01
Br (0.500, 0.000, 0.000)  0.01
Br (0.000, 0.500, 0.000)  0.01
Br (0.000, 0.000, 0.500)  0.01

Record 7
A plane-wave DFT calculation with PBE was carried out for TiBr after structural relaxation.

## Properties
ΔE_f (raw)	0.273	eV per atom
crystal system	cubic
D(E_F)	1.45	states/eV per atom
calculated volume	34.2	Å³ per atom

Cell: 7.432 7.432 7.432 Å, 90.00 90.00 90.00°
Site moments in Bohr magnetons follow the coordinates.
Positions (direct):
Ti (0.250, 0.000, 0.500)  2.01
Ti (0.750, 0.000, 0.500)  2.01
Ti (0.000, 0.500, 0.250)  2.01
Ti (0.000, 0.500, 0.750)  2.01
Ti (0.500, 0.250, 0.000)  2.01
Ti (0.500, 0.750, 0.000)  2.01
Br (0.250, 0.500, 0.000)  -0.01
Br (0.750, 0.500, 0.000)  -0.01
Br (0.500, 0.000, 0.250)  -0.01
Br (0.500, 0.000, 0.750)  -0.01
Br (0.000, 0.250, 0.500)  -0.01
Br (0.000, 0.750, 0.500)  -0.01

Record 8
A plane-wave DFT calculation with PBE was carried out for TiBr after structural relaxation.

## Properties
ΔE_f (raw)	-0.394	eV per atom
crystal system	orthorhombic
D(E_F)	0.35	states/eV per atom
calculated volume	21.3	Å³ per atom

Cell: 3.414 11.809 6.337 Å, 90.00 90.00 90.00°
Site moments in Bohr magnetons follow the coordinates.
Positions (direct):
Ti (0.500, 0.821, 0.572)  0.47
Ti (0.500, 0.179, 0.572)  0.47
Ti (0.500, 0.321, 0.072)  0.47
Ti (0.500, 0.679, 0.072)  0.47
Ti (0.000, 0.000, 0.528)  -0.22
Ti (0.000, 0.500, 0.028)  -0.22
Br (0.000, 0.332, 0.748)  0.00
Br (0.000, 0.668, 0.748)  0.00
Br (0.000, 0.832, 0.248)  0.00
Br (0.000, 0.168, 0.248)  0.00
Br (0.500, 0.000, 0.833)  0.01
Br (0.500, 0.500, 0.333)  0.01

Record 9
A plane-wave DFT calculation with PBE was carried out for TiBr after structural relaxation.

## Properties
ΔE_f (raw)	-0.312	eV per atom
crystal system	orthorhombic
D(E_F)	0.88	states/eV per atom
calculated volume	19.9	Å³ per atom

Cell: 6.242 6.505 7.847 Å, 90.00 90.00 90.00°
Site moments in Bohr magnetons follow the coordinates.
Positions (direct):
Ti (0.336, 0.212, 0.552)  -0.14
Ti (0.836, 0.288, 0.448)  -0.14
Ti (0.664, 0.712, 0.948)  -0.14
Ti (0.164, 0.788, 0.052)  -0.14
Ti (0.506, 0.561, 0.324)  0.79
Ti (0.006, 0.939, 0.676)  0.79
Ti (0.494, 0.061, 0.176)  0.79
Ti (0.994, 0.439, 0.824)  0.79
Br (0.636, 0.925, 0.472)  0.00
Br (0.136, 0.575, 0.528)  0.00
Br (0.364, 0.425, 0.028)  0.00
Br (0.864, 0.075, 0.972)  0.00
Br (0.117, 0.023, 0.328)  0.00
Br (0.617, 0.477, 0.672)  0.00
Br (0.883, 0.523, 0.172)  0.00
Br (0.383, 0.977, 0.828)  0.00

Record 10
A plane-wave DFT calculation with PBE was carried out for Ti2TlBr7 after structural relaxation.

## Properties
ΔE_f (raw)	-0.968	eV per atom
crystal system	orthorhombic
D(E_F)	0.43	states/eV per atom
calculated volume	29.7	Å³ per atom

Cell: 5.088 8.100 8.100 Å, 116.98 90.00 90.00°
Site moments in Bohr magnetons follow the coordinates.
Positions (direct):
Ti (0.500, 0.699, 0.301)  0.93
Ti (0.500, 0.301, 0.699)  0.93
Tl (0.000, 0.000, 0.000)  0.00
Br (0.000, 0.698, 0.302)  -0.03
Br (0.000, 0.302, 0.698)  -0.03
Br (0.500, 0.046, 0.330)  -0.02
Br (0.500, 0.954, 0.670)  -0.02
Br (0.500, 0.330, 0.046)  -0.02
Br (0.500, 0.670, 0.954)  -0.02
Br (0.500, 0.500, 0.500)  -0.01

Record 11
A plane-wave DFT calculation with PBE was carried out for TiTl2Br5 after structural relaxation.

## Properties
energy relative to the lowest polymorph listed for this composition	0	meV/atom
ΔE_f (raw)	-0.992	eV per atom
crystal system	tetragonal
D(E_F)	0.22	states/eV per atom
calculated volume	39.9	Å³ per atom

Cell: 7.917 7.914 7.563 Å, 121.51 121.54 90.03°
Site moments in Bohr magnetons follow the coordinates.
Positions (direct):
Ti (0.976, 0.976, 0.953)  0.88
Tl (0.206, 0.706, 0.413)  0.01
Tl (0.706, 0.206, 0.413)  0.01
Br (0.814, 0.258, 0.073)  -0.01
Br (0.259, 0.259, 0.073)  -0.01
Br (0.815, 0.815, 0.073)  -0.01
Br (0.258, 0.814, 0.072)  -0.01
Br (0.743, 0.743, 0.485)  -0.03

Record 12
A plane-wave DFT calculation with PBE was carried out for TiTl2Br4 after structural relaxation.

## Properties
ΔE_f (raw)	-0.880	eV per atom
crystal system	tetragonal
D(E_F)	0.59	states/eV per atom
calculated volume	33.2	Å³ per atom

Cell: 5.254 5.254 9.197 Å, 73.40 73.40 90.00°
Site moments in Bohr magnetons follow the coordinates.
Positions (direct):
Tl (0.643, 0.643, 0.714)  0.01
Tl (0.357, 0.357, 0.286)  0.01
Br (0.839, 0.839, 0.322)  0.00
Br (0.161, 0.161, 0.678)  0.00
Br (0.000, 0.500, 0.000)  -0.01
Br (0.500, 0.000, 0.000)  -0.01
Ti (0.000, 0.000, 0.000)  1.60

Record 13
A plane-wave DFT calculation with PBE was carried out for Ti2Tl3Br9 after structural relaxation.

## Properties
ΔE_f (raw)	-1.036	eV per atom
crystal system	trigonal
D(E_F)	0.59	states/eV per atom
calculated volume	32.4	Å³ per atom

Cell: 9.770 9.770 9.770 Å, 82.09 82.09 82.09°
Site moments in Bohr magnetons follow the coordinates.
Positions (direct):
Ti (0.167, 0.167, 0.167)  0.87
Ti (0.667, 0.667, 0.667)  0.87
Ti (0.833, 0.833, 0.833)  0.87
Ti (0.333, 0.333, 0.333)  0.87
Tl (0.389, 0.750, 0.111)  0.00
Tl (0.250, 0.889, 0.611)  0.00
Tl (0.889, 0.611, 0.250)  0.00
Tl (0.111, 0.389, 0.750)  0.00
Tl (0.750, 0.111, 0.389)  0.00
Tl (0.611, 0.250, 0.889)  0.00
Br (0.738, 0.904, 0.071)  -0.01
Br (0.096, 0.929, 0.262)  -0.01
Br (0.250, 0.414, 0.086)  0.00
Br (0.596, 0.762, 0.429)  -0.01
Br (0.586, 0.914, 0.750)  0.00
Br (0.914, 0.750, 0.586)  0.00
Br (0.238, 0.571, 0.404)  -0.01
Br (0.571, 0.404, 0.238)  -0.01
Br (0.929, 0.262, 0.096)  -0.01
Br (0.071, 0.738, 0.904)  -0.01
Br (0.429, 0.596, 0.762)  -0.01
Br (0.414, 0.086, 0.250)  0.00
Br (0.762, 0.429, 0.596)  -0.01
Br (0.086, 0.250, 0.414)  0.00
Br (0.404, 0.238, 0.571)  -0.01
Br (0.750, 0.586, 0.914)  0.00
Br (0.904, 0.071, 0.738)  -0.01
Br (0.262, 0.096, 0.929)  -0.01

Record 14
A plane-wave DFT calculation with PBE was carried out for Ti2TlBr8 after structural relaxation.

## Properties
ΔE_f (raw)	-1.105	eV per atom
crystal system	trigonal
D(E_F)	0.78	states/eV per atom
calculated volume	43.7	Å³ per atom

Cell: 8.585 8.042 8.042 Å, 120.01 90.00 90.00°
Site moments in Bohr magnetons follow the coordinates.
Positions (direct):
Ti (0.194, 0.333, 0.667)  0.48
Ti (0.806, 0.667, 0.333)  0.48
Tl (0.000, 0.000, 0.000)  0.01
Br (0.082, 0.667, 0.333)  -0.01
Br (0.919, 0.333, 0.667)  -0.01
Br (0.713, 0.828, 0.172)  -0.01
Br (0.287, 0.172, 0.344)  -0.01
Br (0.287, 0.656, 0.828)  -0.01
Br (0.287, 0.172, 0.828)  -0.01
Br (0.713, 0.828, 0.656)  -0.01
Br (0.713, 0.344, 0.172)  -0.01

Record 15
A plane-wave DFT calculation with PBE was carried out for TiTlBr4 after structural relaxation.

## Properties
energy relative to the lowest polymorph listed for this composition	7	meV/atom
ΔE_f (raw)	-1.057	eV per atom
crystal system	monoclinic
D(E_F)	0.46	states/eV per atom
calculated volume	38.1	Å³ per atom

Cell: 7.799 9.675 8.203 Å, 113.49 103.78 113.72°
Site moments in Bohr magnetons follow the coordinates.
Positions (direct):
Ti (0.250, 0.000, 0.000)  0.93
Ti (0.750, 0.000, 0.000)  0.93
Tl (0.387, 0.637, 0.274)  0.00
Tl (0.613, 0.363, 0.726)  0.00
Br (0.391, 0.284, 0.997)  -0.02
Br (0.860, 0.859, 0.729)  -0.01
Br (0.107, 0.713, 0.997)  -0.02
Br (0.369, 0.870, 0.729)  -0.01
Br (0.631, 0.130, 0.271)  -0.01
Br (0.893, 0.287, 0.003)  -0.02
Br (0.140, 0.141, 0.271)  -0.01
Br (0.609, 0.716, 0.003)  -0.02

Record 16
A plane-wave DFT calculation with PBE was carried out for TiTl4Br6 after structural relaxation.

## Properties
ΔE_f (raw)	-0.888	eV per atom
crystal system	tetragonal
D(E_F)	0.95	states/eV per atom
calculated volume	33.9	Å³ per atom

Cell: 8.795 8.795 9.635 Å, 90.00 90.00 90.00°
Site moments in Bohr magnetons follow the coordinates.
Positions (direct):
Ti (0.500, 0.500, 0.000)  1.55
Ti (0.000, 0.000, 0.500)  1.55
Tl (0.346, 0.154, 0.250)  0.01
Tl (0.154, 0.654, 0.750)  0.01
Tl (0.654, 0.846, 0.750)  0.01
Tl (0.846, 0.346, 0.750)  0.01
Tl (0.346, 0.154, 0.750)  0.01
Tl (0.154, 0.654, 0.250)  0.01
Tl (0.846, 0.346, 0.250)  0.01
Tl (0.654, 0.846, 0.250)  0.01
Br (0.282, 0.874, 0.500)  -0.01
Br (0.782, 0.626, 0.000)  -0.01
Br (0.626, 0.218, 0.000)  -0.01
Br (0.126, 0.282, 0.500)  -0.01
Br (0.000, 0.000, 0.223)  -0.01
Br (0.500, 0.500, 0.277)  -0.01
Br (0.374, 0.782, 0.000)  -0.01
Br (0.000, 0.000, 0.777)  -0.01
Br (0.218, 0.374, 0.000)  -0.01
Br (0.500, 0.500, 0.723)  -0.01
Br (0.874, 0.718, 0.500)  -0.01
Br (0.718, 0.126, 0.500)  -0.01

Record 17
A plane-wave DFT calculation with PBE was carried out for TiTl2Br5 after structural relaxation.

## Properties
energy relative to the lowest polymorph listed for this composition	22	meV/atom
ΔE_f (raw)	-0.970	eV per atom
crystal system	orthorhombic
D(E_F)	0.52	states/eV per atom
calculated volume	41.1	Å³ per atom

Cell: 5.228 9.086 14.449 Å, 90.00 90.00 106.72°
Site moments in Bohr magnetons follow the coordinates.
Positions (direct):
Ti (0.852, 0.704, 0.750)  0.91
Ti (0.148, 0.296, 0.250)  0.91
Tl (0.858, 0.716, 0.436)  0.00
Tl (0.858, 0.716, 0.064)  0.00
Tl (0.142, 0.284, 0.564)  0.00
Tl (0.142, 0.284, 0.936)  0.00
Br (0.955, 0.909, 0.876)  0.00
Br (0.955, 0.909, 0.624)  0.00
Br (0.256, 0.512, 0.379)  -0.01
Br (0.256, 0.512, 0.121)  -0.01
Br (0.655, 0.310, 0.250)  -0.03
Br (0.345, 0.690, 0.750)  -0.03
Br (0.744, 0.488, 0.621)  -0.01
Br (0.744, 0.488, 0.879)  -0.01
Br (0.045, 0.091, 0.124)  0.00
Br (0.045, 0.091, 0.376)  0.00

Record 18
A plane-wave DFT calculation with PBE was carried out for Ti2TlBr8 after structural relaxation.

## Properties
ΔE_f (raw)	-1.105	eV per atom
crystal system	monoclinic
D(E_F)	0.81	states/eV per atom
calculated volume	46.9	Å³ per atom

Cell: 7.423 8.800 8.800 Å, 66.40 80.05 80.05°
Site moments in Bohr magnetons follow the coordinates.
Positions (direct):
Ti (0.667, 0.801, 0.801)  0.48
Ti (0.333, 0.199, 0.199)  0.48
Tl (0.000, 0.000, 0.000)  0.00
Br (0.244, 0.317, 0.923)  -0.01
Br (0.756, 0.077, 0.683)  -0.01
Br (0.342, 0.809, 0.809)  -0.01
Br (0.658, 0.191, 0.191)  -0.01
Br (0.244, 0.923, 0.317)  -0.01
Br (0.756, 0.683, 0.077)  -0.01
Br (0.821, 0.644, 0.644)  -0.01
Br (0.179, 0.356, 0.356)  -0.01

Record 19
A plane-wave DFT calculation with PBE was carried out for Ti3TlBr after structural relaxation.

## Properties
energy relative to the lowest polymorph listed for this composition	0	meV/atom
ΔE_f (raw)	0.435	eV per atom
crystal system	cubic
D(E_F)	1.45	states/eV per atom
calculated volume	21.1	Å³ per atom

Cell: 4.722 4.722 4.722 Å, 90.00 90.00 90.00°
Site moments in Bohr magnetons follow the coordinates.
Positions (direct):
Tl (0.500, 0.500, 0.500)  -0.01
Br (0.000, 0.000, 0.000)  0.02
Ti (0.000, 0.500, 0.000)  0.81
Ti (0.000, 0.000, 0.500)  0.62
Ti (0.500, 0.000, 0.000)  0.77

Record 20
A plane-wave DFT calculation with PBE was carried out for Ti2Tl2Br after structural relaxation.

## Properties
ΔE_f (raw)	0.022	eV per atom
crystal system	tetragonal
D(E_F)	1.21	states/eV per atom
calculated volume	22.0	Å³ per atom

Cell: 6.887 6.887 4.638 Å, 90.00 90.00 90.00°
Site moments in Bohr magnetons follow the coordinates.
Positions (direct):
Tl (0.161, 0.661, 0.500)  0.00
Tl (0.661, 0.839, 0.500)  0.00
Tl (0.839, 0.339, 0.500)  0.00
Tl (0.339, 0.161, 0.500)  0.00
Br (0.000, 0.000, 0.000)  0.00
Br (0.500, 0.500, 0.000)  0.00
Ti (0.359, 0.859, 0.000)  0.28
Ti (0.859, 0.641, 0.000)  0.32
Ti (0.641, 0.141, 0.000)  0.28
Ti (0.141, 0.359, 0.000)  0.32